[1]
! Zn2FePb | Alexandria | PBE | optimized geometry; values from VASP
&SYSTEM
  ibrav = 0, nat = 4, ntyp = 3
/
ATOMIC_SPECIES
Fe 55.84 Fe.upf
Zn 65.41 Zn.upf
Pb 207.20 Pb.upf
CELL_PARAMETERS angstrom
3.0106 -0.0008 0.0000
-0.0435 3.0103 0.0000
0.0000 0.0000 8.2091
ATOMIC_POSITIONS angstrom
Fe 1.4836 1.5048 2.0523
Zn 0.0000 0.0000 0.5617
Zn 0.0000 0.0000 3.5428
Pb 1.4836 1.5048 6.1568
! **Uncorrected energy**: -3.410 eV per atom
! **Formation energy**: 0.2698 eV/atom
! **Total moment**: 2.52 μB per formula unit


[2]
! Zn2FePb | Alexandria | PBE | optimized geometry; values from VASP
&SYSTEM
  ibrav = 0, nat = 4, ntyp = 3
/
ATOMIC_SPECIES
Zn 65.41 Zn.upf
Pb 207.20 Pb.upf
Fe 55.84 Fe.upf
CELL_PARAMETERS angstrom
5.7510 -0.0317 0.0115
3.0336 4.8859 -0.0115
-3.8194 -3.4639 2.5473
ATOMIC_POSITIONS angstrom
Zn 8.4740 4.6826 0.0000
Zn 4.7030 2.5988 0.0000
Pb 1.8033 1.9246 1.2679
Fe 3.1620 -0.5342 1.2794
! **Uncorrected energy**: -3.339 eV per atom
! **Formation energy**: 0.3404 eV/atom
! **Total moment**: 2.35 μB per formula unit


[3]
! Zn4FePb | Alexandria | PBE | optimized geometry; values from VASP
&SYSTEM
  ibrav = 0, nat = 6, ntyp = 3
/
ATOMIC_SPECIES
Zn 65.41 Zn.upf
Pb 207.20 Pb.upf
Fe 55.84 Fe.upf
CELL_PARAMETERS angstrom
0.0000 3.6971 3.6971
3.6971 0.0000 3.6971
3.6971 3.6971 0.0000
ATOMIC_POSITIONS angstrom
Zn 2.7855 2.7855 2.7855
Zn 4.6088 2.7855 4.6088
Zn 4.6088 4.6088 2.7855
Zn 2.7855 4.6088 4.6088
Pb 0.0000 0.0000 0.0000
Fe 5.5457 5.5457 5.5457
! **Uncorrected energy**: -2.587 eV per atom
! **Formation energy**: 0.2904 eV/atom
! **Total moment**: 2.08 μB per formula unit


[4]
! Zn2FePb | Alexandria | PBE | optimized geometry; values from VASP
&SYSTEM
  ibrav = 0, nat = 4, ntyp = 3
/
ATOMIC_SPECIES
Zn 65.41 Zn.upf
Fe 55.84 Fe.upf
Pb 207.20 Pb.upf
CELL_PARAMETERS angstrom
-0.2178 0.8146 -3.1719
1.3613 -2.8688 -0.8302
-6.1226 -2.8175 -0.3031
ATOMIC_POSITIONS angstrom
Zn -1.1052 -1.7988 -2.0841
Zn -0.3657 -0.1683 -0.0181
Fe -2.6913 -1.2385 -0.1332
Pb -3.8782 -3.0749 -2.2214
! **Uncorrected energy**: -3.378 eV per atom
! **Formation energy**: 0.3013 eV/atom
! **Total moment**: 2.39 μB per formula unit


[5]
! ZnFePb2 | Alexandria | PBE | optimized geometry; values from VASP
&SYSTEM
  ibrav = 0, nat = 4, ntyp = 3
/
ATOMIC_SPECIES
Zn 65.41 Zn.upf
Pb 207.20 Pb.upf
Fe 55.84 Fe.upf
CELL_PARAMETERS angstrom
-2.5032 4.6077 -0.6995
-5.0160 -1.0866 1.2827
4.3784 -0.9532 2.8119
ATOMIC_POSITIONS angstrom
Zn -2.1986 -0.1397 2.1932
Pb 0.0000 0.0000 0.0000
Pb -3.7596 1.7605 0.2916
Fe -0.9422 2.7075 1.2021
! **Uncorrected energy**: -3.781 eV per atom
! **Formation energy**: 0.5078 eV/atom
! **Total moment**: 2.92 μB per formula unit


[6]
! Zn2FePb | Alexandria | PBE | optimized geometry; values from VASP
&SYSTEM
  ibrav = 0, nat = 4, ntyp = 3
/
ATOMIC_SPECIES
Pb 207.20 Pb.upf
Fe 55.84 Fe.upf
Zn 65.41 Zn.upf
CELL_PARAMETERS angstrom
-0.7482 0.9227 -2.9368
-3.9254 -2.4770 0.2218
-4.8192 2.2734 1.9421
ATOMIC_POSITIONS angstrom
Pb -2.4096 1.1367 0.9710
Fe -4.7464 0.3596 -0.3865
Zn 0.0000 0.0000 0.0000
Zn -2.3368 -0.7771 -1.3575
! **Uncorrected energy**: -3.276 eV per atom
! **Formation energy**: 0.4040 eV/atom
! **Total moment**: 2.51 μB per formula unit


Please write out number 3 again, unchanged.
! Zn4FePb | Alexandria | PBE | optimized geometry; values from VASP
&SYSTEM
  ibrav = 0, nat = 6, ntyp = 3
/
ATOMIC_SPECIES
Zn 65.41 Zn.upf
Pb 207.20 Pb.upf
Fe 55.84 Fe.upf
CELL_PARAMETERS angstrom
0.0000 3.6971 3.6971
3.6971 0.0000 3.6971
3.6971 3.6971 0.0000
ATOMIC_POSITIONS angstrom
Zn 2.7855 2.7855 2.7855
Zn 4.6088 2.7855 4.6088
Zn 4.6088 4.6088 2.7855
Zn 2.7855 4.6088 4.6088
Pb 0.0000 0.0000 0.0000
Fe 5.5457 5.5457 5.5457
! **Uncorrected energy**: -2.587 eV per atom
! **Formation energy**: 0.2904 eV/atom
! **Total moment**: 2.08 μB per formula unit


Which formula does entry 4 have? Zn2FePb